1.
Material: Pm2DySc5
Method: DFT, PBE-GGA
State: optimized geometry

Cell: 4.8507 6.7427 13.4909 Å, 90.00 90.00 90.00°
Closest atoms and distances in Å follow each position.
Positions (direct):
Dy  0.0000  0.0000  0.5000  8 Sc 3.37-3.41, 4 Pm 3.46
Dy  0.0000  0.5000  0.0000  8 Sc 3.37-3.41, 4 Pm 3.46
Pm  0.5000  0.2613  0.6276  10 Sc 3.33-3.42, 2 Dy 3.46
Pm  0.5000  0.7613  0.8724  10 Sc 3.33-3.42, 2 Dy 3.46
Pm  0.5000  0.7387  0.3724  10 Sc 3.33-3.42, 2 Dy 3.46
Pm  0.5000  0.2387  0.1276  10 Sc 3.33-3.42, 2 Dy 3.46
Sc  0.0000  0.9877  0.2474  7 Sc 3.34-3.43, 4 Pm 3.37-3.40, 1 Dy 3.41
Sc  0.0000  0.0123  0.7526  7 Sc 3.34-3.43, 4 Pm 3.37-3.40, 1 Dy 3.41
Sc  0.5000  0.2574  0.8741  4 Pm 3.33-3.42, 6 Sc 3.36-3.43, 2 Dy 3.38
Sc  0.0000  0.5123  0.7474  7 Sc 3.34-3.43, 4 Pm 3.37-3.40, 1 Dy 3.41
Sc  0.0000  0.0000  0.0000  6 Sc 3.34-3.43, 2 Dy 3.37, 4 Pm 3.38
Sc  0.0000  0.5000  0.5000  6 Sc 3.34-3.43, 2 Dy 3.37, 4 Pm 3.38
Sc  0.0000  0.4877  0.2526  7 Sc 3.34-3.43, 4 Pm 3.37-3.40, 1 Dy 3.41
Sc  0.5000  0.7574  0.6259  4 Pm 3.33-3.42, 6 Sc 3.36-3.43, 2 Dy 3.38
Sc  0.5000  0.2426  0.3741  4 Pm 3.33-3.42, 6 Sc 3.36-3.43, 2 Dy 3.38
Sc  0.5000  0.7426  0.1259  4 Pm 3.33-3.42, 6 Sc 3.36-3.43, 2 Dy 3.38

Results
E_form ... 0.06 eV/atom
Calculated volume ... 441.24 Å³/cell

=====

2.
Material: K3Na9Cd2
Method: DFT, PBE-GGA
State: optimized geometry

Cell: 5.8064 10.3110 10.3110 Å, 76.49 73.65 73.65°
Closest atoms and distances in Å follow each position.
Positions (direct):
Na  0.8696  0.4249  0.8359  3 Na 3.28-3.42, 2 Cd 3.64
Na  0.3718  0.2812  0.9753  1 Cd 3.38, 3 Na 3.42-3.71
Na  0.6282  0.7188  0.0247  1 Cd 3.38, 3 Na 3.42-3.71
Na  0.0000  0.5000  0.5000  4 Na 3.28, 4 Cd 3.34
Na  0.1304  0.1641  0.5751  3 Na 3.28-3.42, 2 Cd 3.64
Na  0.6282  0.0247  0.7188  1 Cd 3.38, 3 Na 3.42-3.71
Na  0.8696  0.8359  0.4249  3 Na 3.28-3.42, 2 Cd 3.64
Na  0.1304  0.5751  0.1641  3 Na 3.28-3.42, 2 Cd 3.64
Na  0.3718  0.9753  0.2812  1 Cd 3.38, 3 Na 3.42-3.71
Cd  0.5000  0.3699  0.6301  1 Cd 3.32, 8 Na 3.34-3.64, 2 K 3.64
Cd  0.5000  0.6301  0.3699  1 Cd 3.32, 8 Na 3.34-3.64, 2 K 3.64
K  0.0000  0.0000  0.0000  12 Na 4.00-4.24, 2 K 4.33
K  0.2861  0.7139  0.7139  2 Cd 3.64
K  0.7139  0.2861  0.2861  2 Cd 3.64

Results
E_form ... 0.00 eV/atom
Calculated volume ... 560.33 Å³/cell

=====

3.
Material: InBSe3
Method: DFT, PBE-GGA
State: optimized geometry

Cell: 4.6024 4.6024 4.6024 Å, 90.00 90.00 90.00°
Closest atoms and distances in Å follow each position.
Positions (direct):
B  0.0000  0.0000  0.0000  6 Se 2.30
Se  0.0000  0.5000  0.0000  2 B 2.30
Se  0.0000  0.0000  0.5000  2 B 2.30
Se  0.5000  0.0000  0.0000  2 B 2.30
In  0.5000  0.5000  0.5000  12 Se 3.25

Results
Calculated volume ... 97.49 Å³/cell
Energy relative to the elements, uncorrected ... 0.430 eV per atom

=====

4.
Material: Ta2FePt
Method: DFT, PBE-GGA
State: optimized geometry

Cell: 2.8755 3.7589 5.7376 Å, 90.00 90.00 90.00°
Closest atoms and distances in Å follow each position.
Positions (direct):
Ta  0.0000  0.0000  0.4860  4 Ta 2.71-3.03, 4 Fe 2.73, 4 Pt 2.81
Ta  0.0000  0.0000  0.0140  4 Ta 2.71-3.03, 4 Fe 2.73, 4 Pt 2.81
Fe  0.5000  0.5000  0.2500  8 Ta 2.73, 2 Pt 2.87, 2 Fe 2.88
Pt  0.5000  0.5000  0.7500  8 Ta 2.81, 2 Fe 2.87, 2 Pt 2.88

Results
Energy relative to the lowest polymorph listed for this composition ... 84 meV/atom
E_form ... -0.28 eV/atom
Calculated volume ... 62.02 Å³/cell

=====

5.
Material: TbPm2Pr2Y
Method: DFT, PBE-GGA
State: optimized geometry

Cell: 5.7495 7.1355 9.9625 Å, 90.00 90.00 90.00°
Closest atoms and distances in Å follow each position.
Positions (direct):
Tb  0.5000  0.2578  0.6597  5 Pm 3.27-3.57
Tb  0.5000  0.7578  0.3403  5 Pm 3.27-3.57
Y  0.0000  0.5077  0.4999  2 Y 3.57, 2 Pr 3.69, 4 Tb 3.74, 6 Pm 3.78-3.80
Y  0.0000  0.0077  0.5001  2 Y 3.57, 2 Pr 3.69, 4 Tb 3.74, 6 Pm 3.78-3.80
Pr  0.0000  0.7574  0.8240  5 Pm 3.27-3.57
Pr  0.0000  0.2574  0.1760  5 Pm 3.27-3.57
Pr  0.5000  0.0076  0.9997  6 Pr 3.57-3.81, 6 Pm 3.75-3.76, 2 Tb 3.83
Pr  0.5000  0.5076  0.0003  6 Pr 3.57-3.81, 6 Pm 3.75-3.76, 2 Tb 3.83
Pm  0.0000  0.7577  0.1632  2 Tb 3.37, 7 Pr 3.38-3.75
Pm  0.0000  0.2577  0.8368  2 Tb 3.37, 7 Pr 3.38-3.75
Pm  0.5000  0.2576  0.3318  2 Pr 3.27, 3 Tb 3.27-3.57
Pm  0.5000  0.7576  0.6682  2 Pr 3.27, 3 Tb 3.27-3.57

Results
E_form ... 0.05 eV/atom
Calculated volume ... 408.72 Å³/cell

=====

6.
Material: LiSc2Ru
Method: DFT, PBE-GGA
State: optimized geometry

Cell: 2.9959 2.9959 9.3668 Å, 90.00 90.00 112.29°
Closest atoms and distances in Å follow each position.
Positions (direct):
Sc  0.5000  0.5000  0.2543  8 Sc 3.00-3.34, 2 Li 3.16
Sc  0.0000  0.0000  0.9513  2 Ru 2.49
Ru  0.5000  0.5000  0.7534  2 Sc 2.49, 2 Li 2.60
Li  0.0000  0.0000  0.5411  2 Ru 2.60

Results
Energy relative to the lowest polymorph listed for this composition ... 453 meV/atom
E_form ... 0.09 eV/atom
Calculated volume ... 77.79 Å³/cell

=====

7.
Material: Na5B7C3
Method: DFT, PBE-GGA
State: optimized geometry

Cell: 12.9752 12.9752 8.6100 Å, 90.00 90.00 167.57°
Closest atoms and distances in Å follow each position.
Positions (direct):
B  0.3299  0.6701  0.7500  3 C 1.61-1.63
B  0.6698  0.3302  0.2500  3 B 1.67-1.80
B  0.0738  0.9262  0.7500  3 B 1.76-1.80
B  0.9221  0.0779  0.7500  1 C 1.55
B  0.4638  0.5362  0.2500  3 C 1.62-1.63
B  0.7362  0.2638  0.7500  3 C 1.62-1.63
B  0.2779  0.7221  0.2500  1 C 1.55
B  0.0581  0.9419  0.2500  2 C 1.62, 1 B 1.76
B  0.7345  0.2655  0.2500  3 B 1.67-1.80
B  0.5302  0.4698  0.7500  3 B 1.67-1.80
B  0.8701  0.1299  0.2500  3 C 1.61-1.63
B  0.4655  0.5345  0.7500  3 B 1.67-1.80
B  0.1262  0.8738  0.2500  3 B 1.76-1.80
B  0.1419  0.8581  0.7500  2 C 1.62, 1 B 1.76
Na  0.6000  0.4000  0.0000  10 B 2.66-2.81, 6 Na 2.81-2.95, 2 C 2.86
Na  0.9994  0.0006  0.0006  9 B 2.63-2.94, 3 C 2.66-2.76, 4 Na 2.81-2.93
Na  0.6000  0.4000  0.5000  10 B 2.66-2.81, 6 Na 2.81-2.95, 2 C 2.86
Na  0.8004  0.1996  0.5026  7 B 2.65-2.82, 5 C 2.66-2.76, 6 Na 2.81-2.93
Na  0.8004  0.1996  0.9974  7 B 2.65-2.82, 5 C 2.66-2.76, 6 Na 2.81-2.93
Na  0.3996  0.6004  0.4974  7 B 2.65-2.82, 5 C 2.66-2.76, 6 Na 2.81-2.93
Na  0.3996  0.6004  0.0026  7 B 2.65-2.82, 5 C 2.66-2.76, 6 Na 2.81-2.93
Na  0.9994  0.0006  0.4994  9 B 2.63-2.94, 3 C 2.66-2.76, 4 Na 2.81-2.93
Na  0.2006  0.7994  0.9994  9 B 2.63-2.94, 3 C 2.66-2.76, 4 Na 2.81-2.93
Na  0.2006  0.7994  0.5006  9 B 2.63-2.94, 3 C 2.66-2.76, 4 Na 2.81-2.93
C  0.5269  0.4731  0.2500  3 B 1.62-1.63
C  0.6731  0.3269  0.7500  3 B 1.62-1.63
C  0.2676  0.7324  0.7500  3 B 1.61-1.62
C  0.9324  0.0676  0.2500  3 B 1.61-1.62
C  0.3381  0.6619  0.2500  3 B 1.55-1.63
C  0.8619  0.1381  0.7500  3 B 1.55-1.63

Results
Energy relative to the lowest polymorph listed for this composition ... 5 meV/atom
E_form ... 0.12 eV/atom
Calculated volume ... 311.97 Å³/cell

=====

8.
Material: Th2TcOs
Method: DFT, PBE-GGA
State: optimized geometry

Cell: 3.3390 3.3390 9.8601 Å, 80.25 80.25 60.00°
Closest atoms and distances in Å follow each position.
Positions (direct):
Tc  0.0000  0.0000  0.0000  2 Th 2.56
Os  0.5000  0.5000  0.5000  6 Th 2.98
Th  0.0884  0.0884  0.7348  1 Tc 2.56
Th  0.9116  0.9116  0.2652  1 Tc 2.56

Results
E_form ... 0.67 eV/atom
Calculated volume ... 93.36 Å³/cell

=====

9.
Material: SiPOs2
Method: DFT, PBE-GGA
State: optimized geometry

Cell: 7.7589 7.7589 7.7589 Å, 21.24 21.24 21.24°
Closest atoms and distances in Å follow each position.
Positions (direct):
Si  0.7500  0.7500  0.7500  6 Os 2.56, 6 Si 2.86
Os  0.9973  0.9973  0.9973  3 P 2.47, 3 Si 2.56
Os  0.5027  0.5027  0.5027  3 P 2.47, 3 Si 2.56
P  0.2500  0.2500  0.2500  6 Os 2.47

Results
Energy relative to the lowest polymorph listed for this composition ... 123 meV/atom
Calculated volume ... 53.71 Å³/cell
Energy relative to the elements, uncorrected ... -0.042 eV per atom

=====

10.
Material: MnIn2Sn2
Method: DFT, PBE-GGA
State: optimized geometry

Cell: 4.1127 4.1127 8.6976 Å, 76.32 76.32 90.00°
Closest atoms and distances in Å follow each position.
Positions (direct):
Sn  0.2500  0.7500  0.5000  4 Sn 2.91
Sn  0.7500  0.2500  0.5000  4 Sn 2.91
In  0.5900  0.5900  0.8201  1 In 2.95, 4 Mn 3.26
In  0.4100  0.4100  0.1799  1 In 2.95, 4 Mn 3.26
Mn  0.0000  0.0000  0.0000  8 In 3.26

Results
Energy relative to the lowest polymorph listed for this composition ... 228 meV/atom
E_form ... 0.45 eV/atom
Calculated volume ... 138.65 Å³/cell

=====

11.
Material: NaPm2Cl8
Method: DFT, PBE-GGA
State: optimized geometry

Cell: 4.2734 7.5475 9.2090 Å, 97.88 103.42 90.00°
Closest atoms and distances in Å follow each position.
Positions (direct):
Cl  0.3216  0.0123  0.6432  3 Pm 2.93-3.00, 1 Na 3.21
Cl  0.6051  0.5426  0.2102  2 Pm 2.84
Cl  0.3949  0.4574  0.7898  2 Pm 2.84
Cl  0.9627  0.1996  0.9255  2 Na 2.75, 1 Pm 2.82
Cl  0.0373  0.8004  0.0745  2 Na 2.75, 1 Pm 2.82
Cl  0.2095  0.3453  0.4190  3 Pm 2.93-2.96
Cl  0.6784  0.9877  0.3568  3 Pm 2.93-3.00, 1 Na 3.21
Cl  0.7905  0.6547  0.5810  3 Pm 2.93-2.96
Pm  0.1870  0.7261  0.3741  9 Cl 2.82-3.00
Pm  0.8130  0.2739  0.6259  9 Cl 2.82-3.00
Na  0.5000  0.0000  0.0000  4 Cl 2.75

Results
Calculated volume ... 286.03 Å³/cell
Energy relative to the elements, uncorrected ... -1.889 eV per atom